Record 1
The following is a PBE calculation of an optimized crystal structure of Ac2Cu4Si3Hg, from the Alexandria database.

a b c (Å): 4.339 4.339 10.288
angles (deg): 90.00 90.00 90.00
Positions (direct):
Ac  0.000  0.500  0.764
Ac  0.500  0.000  0.236
Cu  0.000  0.000  0.000
Cu  0.500  0.500  0.000
Cu  0.000  0.500  0.356
Cu  0.500  0.000  0.644
Si  0.000  0.000  0.500
Si  0.500  0.000  0.879
Si  0.000  0.500  0.121
Hg  0.500  0.500  0.500

- calculated volume (A^3/atom) = 19.37
- uncorrected formation energy (eV per atom) = -0.373

***

Record 2
The following is a PBE calculation of an optimized crystal structure of CeTiAs, from the Alexandria database.

a b c (Å): 4.574 7.737 7.737
angles (deg): 90.00 90.00 90.00
Each line ends with the local moment (μB).
Positions (direct):
Ce  0.000  0.949  0.281  0.88
Ce  0.500  0.719  0.949  0.88
Ce  0.500  0.281  0.051  0.88
Ce  0.000  0.051  0.719  0.88
As  0.000  0.427  0.805  -0.02
As  0.500  0.195  0.427  -0.02
As  0.500  0.805  0.573  -0.02
As  0.000  0.573  0.195  -0.02
Ti  0.500  0.444  0.661  0.26
Ti  0.000  0.661  0.556  0.26
Ti  0.000  0.339  0.444  0.26
Ti  0.500  0.556  0.339  0.26

- calculated volume (A^3/atom) = 22.81
- formation energy from the elements (eV per atom) = -0.662

***

Record 3
The following is a PBE calculation of an optimized crystal structure of Tm2LuPt, from the Alexandria database.

a b c (Å): 3.521 3.521 8.181
angles (deg): 90.00 90.00 90.00
Positions (direct):
Tm  0.000  0.000  0.801
Tm  0.000  0.000  0.199
Pt  0.500  0.500  0.000
Lu  0.500  0.500  0.500

- calculated volume (A^3/atom) = 25.36
- formation energy from the elements (eV per atom) = -0.610

***

Record 4
The following is a PBE calculation of an optimized crystal structure of Ce3GeSb2Rh9, from the Alexandria database.

a b c (Å): 7.033 7.033 7.565
angles (deg): 90.00 90.00 120.00
Each line ends with the local moment (μB).
Positions (direct):
Rh  0.000  0.500  0.000  -0.05
Rh  0.868  0.737  0.741  -0.02
Rh  0.132  0.868  0.259  -0.02
Rh  0.500  0.500  0.000  -0.05
Rh  0.500  0.000  0.000  -0.05
Rh  0.132  0.263  0.259  -0.02
Rh  0.868  0.132  0.741  -0.02
Rh  0.263  0.132  0.741  -0.02
Rh  0.737  0.868  0.259  -0.02
Ge  0.000  0.000  0.500  0.00
Ce  0.333  0.667  0.765  0.43
Ce  0.667  0.333  0.235  0.43
Ce  0.000  0.000  0.000  0.00
Sb  0.667  0.333  0.731  -0.01
Sb  0.333  0.667  0.269  -0.01

- calculated volume (A^3/atom) = 21.60
- uncorrected formation energy (eV per atom) = -0.366